Here is a relaxed BeTlCuRe crystal from the Open Quantum Materials Database. Energies are from PBE-GGA.

Cell and atoms, written as POSCAR:
```
BeTlCuRe
1.0
0.000 3.066 3.066
3.066 0.000 3.066
3.066 3.066 0.000
Be Cu Re Tl
1 1 1 1
Cartesian
1.533 1.533 1.533
4.598 4.598 4.598
3.066 3.066 3.066
0.000 0.000 0.000
```

The value obtained for the calculated total energy is -4.7197 eV per atom. For the calculated volume, the calculation gives 14.4 Å³/atom. As for the distance to the lowest polymorph of the same formula: 0.0 meV per atom.